MgPCl2O | PBE-GGA | optimized geometry

Space-group type   P4/mmm, No. 123
ΔE_f (raw)   0.23 eV per atom
Theoretical density   2.7 g cm⁻³
Density of states at the Fermi level   0.696 states/eV per atom
E above lowest polymorph   0 meV/atom

Lattice parameters (Å, degrees): 4.539 4.539 4.223 90.00 90.00 90.00
Last column: magnetic moment on the atom in μB.
Fractional coordinates of all 5 atoms:
O: 0.000 0.000 0.000  0.01
Mg: 0.500 0.500 0.500  0.01
Cl: 0.000 0.500 0.000  0.02
Cl: 0.500 0.000 0.000  0.02
P: 0.000 0.000 0.500  0.11